Material: FePCl
Method: DFT, PBE
State: optimized geometry

Calculated values
Total energy in eV/cell: -61.9
Theoretical density in g/cm3: 3.7
ΔE_f (raw) in meV per atom: 78
Distance to the lowest polymorph of the same formula in meV per atom: 489

Cell lengths 3.8825, 4.2900, 13.0693 Å; angles 90.00, 90.00, 90.00 degrees
With the nearest neighbours (Å) after each atom.
Space group Fmm2 (No. 42)
Asymmetric unit:
1 Fe 0.0000 0.0000 0.0000  4 P 2.37-2.54, 2 Cl 2.50
2 P 0.0000 0.0000 0.6043  4 Fe 2.37-2.54
3 Cl 0.0000 0.0000 0.3795  4 Fe 2.50-2.66

=====

Material: LaTm2In3Te6
Method: DFT, PBE
State: optimized geometry

Calculated values
Total energy in eV/cell: -105.4
Theoretical density in g/cm3: 6.3
ΔE_f (raw) in meV per atom: -980

Cell lengths 7.7307, 13.3737, 8.5044 Å; angles 90.00, 107.62, 90.00 degrees
With the nearest neighbours (Å) after each atom.
Space group C2/m (No. 12)
Asymmetric unit:
1 La 0.0000 0.0000 0.0000  6 Te 3.21-3.23
2 Tm 0.0000 0.3329 0.0000  6 Te 3.07-3.09
3 In 0.0000 0.1629 0.5000  6 Te 3.38-3.48
4 In 0.0000 0.5000 0.5000  6 Te 3.37-3.47
5 Te 0.2242 0.5000 0.2162  2 Tm 3.07, 1 La 3.21, 1 In 3.37
6 Te 0.2476 0.1738 0.2205  2 Tm 3.09, 1 La 3.23, 1 In 3.38

=====

> Which formula does entry 2 have?

LaTm2In3Te6